A:
Tl2CrCl5: optimized geometry, PBE.

Values from the calculation:
calculated volume = 30.76 A^3/atom

Lattice parameters (Å, degrees): 7.3629 7.3629 9.0788 90.00 90.00 90.00
Space group I4mm (No. 107)
Asymmetric unit:
Tl (0.0000, 0.5000, 0.0000) (multiplicity 4)
Cr (0.0000, 0.0000, 0.2414) (multiplicity 2)
Cl (0.0000, 0.0000, 0.9981) (multiplicity 2)
Cl (0.2209, 0.2209, 0.2772) (multiplicity 8)

=====

B:
Tl2CrCl5: optimized geometry, PBE.

Values from the calculation:
calculated volume = 28.35 A^3/atom

Lattice parameters (Å, degrees): 15.8315 7.3724 9.1577 90.00 121.93 90.00
Space group Cc (No. 9)
Asymmetric unit:
Tl (0.0000, 0.0089, 0.0000) (multiplicity 4)
Tl (0.1734, 0.4871, 0.0316) (multiplicity 4)
Cr (0.3373, 0.0009, 0.5170) (multiplicity 4)
Cl (0.0037, 0.4011, 0.1432) (multiplicity 4)
Cl (0.1708, 0.0966, 0.8904) (multiplicity 4)
Cl (0.2835, 0.2873, 0.3943) (multiplicity 4)
Cl (0.3373, 0.1196, 0.7671) (multiplicity 4)
Cl (0.3913, 0.2851, 0.1404) (multiplicity 4)

=====

What should be chosen as the most stable of them? Choose B.

=====

A:
V3CrCl: optimized geometry, PBE.

Values from the calculation:
calculated volume = 17.36 A^3/atom

Lattice parameters (Å, degrees): 4.4281 4.4281 4.4281 90.00 90.00 90.00
Space group Pm-3m (No. 221)
Asymmetric unit:
V (0.0000, 0.0000, 0.5000) (multiplicity 3)
Cr (0.0000, 0.0000, 0.0000) (multiplicity 1)
Cl (0.5000, 0.5000, 0.5000) (multiplicity 1)

=====

B:
V3CrCl: optimized geometry, PBE.

Values from the calculation:
calculated volume = 15.50 A^3/atom

Lattice parameters (Å, degrees): 4.2640 4.2640 4.2640 90.00 90.00 90.00
Space group Pm-3m (No. 221)
Asymmetric unit:
V (0.0000, 0.0000, 0.5000) (multiplicity 3)
Cr (0.5000, 0.5000, 0.5000) (multiplicity 1)
Cl (0.0000, 0.0000, 0.0000) (multiplicity 1)

=====

What should be chosen as the most stable of them? Choose B.

=====

A:
VCrCl3: optimized geometry, PBE.

Values from the calculation:
calculated volume = 23.04 A^3/atom

Lattice parameters (Å, degrees): 4.8658 4.8658 4.8658 90.00 90.00 90.00
Space group Pm-3m (No. 221)
Asymmetric unit:
V (0.0000, 0.0000, 0.0000) (multiplicity 1)
Cr (0.5000, 0.5000, 0.5000) (multiplicity 1)
Cl (0.0000, 0.0000, 0.5000) (multiplicity 3)

=====

B:
VCrCl3: optimized geometry, PBE.

Values from the calculation:
calculated volume = 23.04 A^3/atom

Lattice parameters (Å, degrees): 4.8655 4.8655 4.8655 90.00 90.00 90.00
Space group Pm-3m (No. 221)
Asymmetric unit:
V (0.0000, 0.0000, 0.0000) (multiplicity 1)
Cr (0.5000, 0.5000, 0.5000) (multiplicity 1)
Cl (0.0000, 0.5000, 0.5000) (multiplicity 3)

=====

What should be chosen as the most stable of them? Choose A.

=====

A:
V2Cr2Cl: optimized geometry, PBE.

Values from the calculation:
calculated volume = 14.96 A^3/atom

Lattice parameters (Å, degrees): 6.9532 6.9532 3.0952 90.00 90.00 90.00
Space group P4/mbm (No. 127)
Asymmetric unit:
V (0.1453, 0.3547, 0.0000) (multiplicity 4)
Cr (0.1356, 0.6356, 0.5000) (multiplicity 4)
Cl (0.0000, 0.0000, 0.0000) (multiplicity 2)

=====

B:
V2Cr2Cl: optimized geometry, PBE.

Values from the calculation:
calculated volume = 16.01 A^3/atom

Lattice parameters (Å, degrees): 3.3147 3.3147 14.5733 90.00 90.00 90.00
Space group I4/mmm (No. 139)
Asymmetric unit:
V (0.0000, 0.0000, 0.1275) (multiplicity 4)
Cr (0.0000, 0.5000, 0.2500) (multiplicity 4)
Cl (0.0000, 0.0000, 0.5000) (multiplicity 2)

=====

What should be chosen as the most stable of them? Choose B.

=====

A:
VCrCl2: optimized geometry, PBE.

Values from the calculation:
calculated volume = 24.62 A^3/atom

Lattice parameters (Å, degrees): 6.0019 6.0019 10.9371 90.00 90.00 90.00
Space group I-42d (No. 122)
Asymmetric unit:
V (0.0000, 0.0000, 0.0000) (multiplicity 4)
Cr (0.0000, 0.0000, 0.5000) (multiplicity 4)
Cl (0.2416, 0.2500, 0.1250) (multiplicity 8)

=====

B:
VCrCl2: optimized geometry, PBE.

Values from the calculation:
calculated volume = 20.43 A^3/atom

Lattice parameters (Å, degrees): 3.1411 3.1411 28.6862 90.00 90.00 120.00
Space group R-3m (No. 166, hexagonal axes)
Asymmetric unit:
V (0.0000, 0.0000, 0.0000) (multiplicity 3)
Cr (0.0000, 0.0000, 0.5000) (multiplicity 3)
Cl (0.0000, 0.0000, 0.3885) (multiplicity 6)

=====

What should be chosen as the most stable of them? Choose B.

=====

A:
CrW3Cl: optimized geometry, PBE.

Values from the calculation:
calculated volume = 19.20 A^3/atom

Lattice parameters (Å, degrees): 4.5789 4.5789 4.5789 90.00 90.00 90.00
Space group Pm-3m (No. 221)
Asymmetric unit:
Cr (0.0000, 0.0000, 0.0000) (multiplicity 1)
W (0.0000, 0.0000, 0.5000) (multiplicity 3)
Cl (0.5000, 0.5000, 0.5000) (multiplicity 1)

=====

B:
CrW3Cl: optimized geometry, PBE.

Values from the calculation:
calculated volume = 16.58 A^3/atom

Lattice parameters (Å, degrees): 4.3607 4.3607 4.3607 90.00 90.00 90.00
Space group Pm-3m (No. 221)
Asymmetric unit:
Cr (0.0000, 0.0000, 0.0000) (multiplicity 1)
W (0.0000, 0.5000, 0.5000) (multiplicity 3)
Cl (0.5000, 0.5000, 0.5000) (multiplicity 1)

=====

What should be chosen as the most stable of them? Choose B.

=====

A:
CrWCl: optimized geometry, PBE.

Values from the calculation:
calculated volume = 14.41 A^3/atom

Lattice parameters (Å, degrees): 4.1955 4.1955 2.8358 90.00 90.00 120.00
Space group P3m1 (No. 156)
Asymmetric unit:
Cr (0.0000, 0.0000, 0.0000) (multiplicity 1)
W (0.3333, 0.6667, 0.6218) (multiplicity 1)
Cl (0.6667, 0.3333, 0.8275) (multiplicity 1)

=====

B:
CrWCl: optimized geometry, PBE.

Values from the calculation:
calculated volume = 15.96 A^3/atom

Lattice parameters (Å, degrees): 5.7636 5.7636 5.7636 90.00 90.00 90.00
Space group F-43m (No. 216)
Asymmetric unit:
Cr (0.0000, 0.0000, 0.0000) (multiplicity 4)
W (0.2500, 0.2500, 0.2500) (multiplicity 4)
Cl (0.2500, 0.2500, 0.7500) (multiplicity 4)

=====

What should be chosen as the most stable of them? Choose A.

=====

A:
CrWCl: optimized geometry, PBE.

Values from the calculation:
calculated volume = 16.34 A^3/atom

Lattice parameters (Å, degrees): 3.1011 5.0758 12.4591 90.00 90.00 90.00
Space group Fmm2 (No. 42)
Asymmetric unit:
Cr (0.0000, 0.0000, 0.0000) (multiplicity 4)
W (0.0000, 0.0000, 0.6416) (multiplicity 4)
Cl (0.0000, 0.0000, 0.3368) (multiplicity 4)

=====

B:
CrWCl: optimized geometry, PBE.

Values from the calculation:
calculated volume = 16.44 A^3/atom

Lattice parameters (Å, degrees): 3.1113 3.1113 5.8839 90.00 90.00 120.00
Space group P3m1 (No. 156)
Asymmetric unit:
Cr (0.0000, 0.0000, 0.0000) (multiplicity 1)
W (0.3333, 0.6667, 0.2611) (multiplicity 1)
Cl (0.6667, 0.3333, 0.6667) (multiplicity 1)

=====

C:
CrWCl: optimized geometry, PBE.

Values from the calculation:
calculated volume = 17.03 A^3/atom

Lattice parameters (Å, degrees): 5.8898 5.8898 5.8898 90.00 90.00 90.00
Space group F-43m (No. 216)
Asymmetric unit:
Cr (0.0000, 0.0000, 0.0000) (multiplicity 4)
W (0.2500, 0.2500, 0.7500) (multiplicity 4)
Cl (0.0000, 0.0000, 0.5000) (multiplicity 4)

=====

D:
CrWCl: optimized geometry, PBE.

Values from the calculation:
calculated volume = 15.14 A^3/atom

Lattice parameters (Å, degrees): 2.8333 4.0589 7.8980 90.00 90.00 90.00
Space group Imm2 (No. 44)
Asymmetric unit:
Cr (0.0000, 0.0000, 0.0000) (multiplicity 2)
W (0.0000, 0.0000, 0.6561) (multiplicity 2)
Cl (0.0000, 0.0000, 0.3255) (multiplicity 2)

=====

What should be chosen as the most stable of them? Choose B.